Version w
First-principles (PBE) data for a relaxed GaSiBr2 crystal, as listed in the Alexandria database.

## Properties
Calculated volume   32.72 Å³/atom
Space-group type   I-42d, No. 122
Total magnetization   0.7 μB per cell

abc: 5.538 5.538 9.392
angles: 72.85 72.85 90.00
Last column: magnetic moment on the atom in μB.
Fractional coordinates of all 8 atoms:
Br (0.875, 0.834, 0.750)  0.00
Ga (0.750, 0.250, 0.500)  0.02
Br (0.375, 0.416, 0.750)  0.00
Si (0.500, 0.500, 0.000)  0.09
Ga (0.000, 0.000, 0.000)  0.02
Br (0.584, 0.125, 0.250)  0.00
Br (0.166, 0.625, 0.250)  0.00
Si (0.250, 0.750, 0.500)  0.09

---

Version x
First-principles (PBE) data for a relaxed GaSiBr2 crystal, as listed in the Alexandria database.

## Properties
Calculated volume   27.51 Å³/atom
Space-group type   R-3m, No. 166
Total magnetization   0.0 μB per cell

abc: 9.573 9.573 9.573
angles: 22.22 22.22 22.22
Fractional coordinates of all 4 atoms:
Br (0.909, 0.909, 0.909)
Si (0.000, 0.000, 0.000)
Br (0.091, 0.091, 0.091)
Ga (0.500, 0.500, 0.500)

---

Version y
First-principles (PBE) data for a relaxed GaSiBr2 crystal, as listed in the Alexandria database.

## Properties
Calculated volume   23.92 Å³/atom
Space-group type   Fm-3m, No. 225
Total magnetization   0.0 μB per cell

abc: 5.134 5.134 5.134
angles: 60.00 60.00 60.00
Fractional coordinates of all 4 atoms:
Br (0.750, 0.750, 0.750)
Br (0.250, 0.250, 0.250)
Si (0.000, 0.000, 0.000)
Ga (0.500, 0.500, 0.500)

---

Version z
First-principles (PBE) data for a relaxed GaSiBr2 crystal, as listed in the Alexandria database.

## Properties
Calculated volume   28.84 Å³/atom
Space-group type   R-3m, No. 166
Total magnetization   0.0 μB per cell

abc: 9.906 9.906 9.906
angles: 21.59 21.59 21.59
Fractional coordinates of all 4 atoms:
Si (0.500, 0.500, 0.500)
Ga (0.000, 0.000, 0.000)
Br (0.895, 0.895, 0.895)
Br (0.105, 0.105, 0.105)

---

Most stable = version x

---

Version w
First-principles (PBE) data for a relaxed Ga2SiBr crystal, as listed in the Alexandria database.

## Properties
Calculated volume   21.18 Å³/atom
Space-group type   Fm-3m, No. 225
Total magnetization   0.0 μB per cell

abc: 4.930 4.930 4.930
angles: 60.00 60.00 60.00
Fractional coordinates of all 4 atoms:
Ga (0.250, 0.250, 0.250)
Br (0.500, 0.500, 0.500)
Si (0.000, 0.000, 0.000)
Ga (0.750, 0.750, 0.750)

---

Version x
First-principles (PBE) data for a relaxed Ga2SiBr crystal, as listed in the Alexandria database.

## Properties
Calculated volume   28.01 Å³/atom
Space-group type   I-42d, No. 122
Total magnetization   0.0 μB per cell

abc: 6.103 6.103 7.405
angles: 65.67 65.67 90.00
Fractional coordinates of all 8 atoms:
Br (0.750, 0.250, 0.500)
Ga (0.875, 0.814, 0.750)
Si (0.500, 0.500, 0.000)
Ga (0.564, 0.125, 0.250)
Si (0.250, 0.750, 0.500)
Br (0.000, 0.000, 0.000)
Ga (0.186, 0.625, 0.250)
Ga (0.375, 0.436, 0.750)

---

Most stable = version x

---

Version w
First-principles (PBE) data for a relaxed GaSn4Br8 crystal, as listed in the Alexandria database.

## Properties
Calculated volume   37.20 Å³/atom
Space-group type   R-3m, No. 166
Total magnetization   0.0 μB per cell

abc: 9.049 9.049 8.591
angles: 90.00 121.78 120.00
Fractional coordinates of all 13 atoms:
Sn (0.000, 0.500, 0.000)
Br (0.485, 0.742, 0.227)
Sn (0.500, 0.500, 0.000)
Sn (0.500, 0.000, 0.000)
Br (0.991, 0.747, 0.236)
Sn (0.000, 0.000, 0.000)
Br (0.009, 0.755, 0.764)
Ga (0.000, 0.500, 0.500)
Br (0.515, 0.258, 0.773)
Br (0.009, 0.253, 0.764)
Br (0.489, 0.245, 0.236)
Br (0.991, 0.245, 0.236)
Br (0.511, 0.755, 0.764)

---

Version x
First-principles (PBE) data for a relaxed GaSn4Br8 crystal, as listed in the Alexandria database.

## Properties
Calculated volume   40.97 Å³/atom
Space-group type   F-43m, No. 216
Total magnetization   0.0 μB per cell

abc: 9.098 9.098 9.098
angles: 60.00 60.00 60.00
Fractional coordinates of all 13 atoms:
Sn (0.372, 0.884, 0.372)
Sn (0.372, 0.372, 0.884)
Br (0.157, 0.614, 0.614)
Br (0.614, 0.157, 0.614)
Sn (0.372, 0.372, 0.372)
Br (0.138, 0.138, 0.585)
Br (0.138, 0.585, 0.138)
Br (0.585, 0.138, 0.138)
Ga (0.750, 0.750, 0.750)
Br (0.614, 0.614, 0.157)
Br (0.138, 0.138, 0.138)
Sn (0.884, 0.372, 0.372)
Br (0.614, 0.614, 0.614)

---

Most stable = version w

---

Version w
First-principles (PBE) data for a relaxed Ga3SnBr crystal, as listed in the Alexandria database.

## Properties
Calculated volume   33.50 Å³/atom
Space-group type   Pm-3m, No. 221
Total magnetization   0.0 μB per cell

abc: 5.512 5.512 5.512
angles: 90.00 90.00 90.00
Fractional coordinates of all 5 atoms:
Br (0.500, 0.500, 0.500)
Sn (0.000, 0.000, 0.000)
Ga (0.000, 0.000, 0.500)
Ga (0.000, 0.500, 0.000)
Ga (0.500, 0.000, 0.000)

---

Version x
First-principles (PBE) data for a relaxed Ga3SnBr crystal, as listed in the Alexandria database.

## Properties
Calculated volume   32.42 Å³/atom
Space-group type   Pm-3m, No. 221
Total magnetization   0.0 μB per cell

abc: 5.453 5.453 5.453
angles: 90.00 90.00 90.00
Fractional coordinates of all 5 atoms:
Ga (0.500, 0.000, 0.000)
Ga (0.000, 0.000, 0.500)
Sn (0.500, 0.500, 0.500)
Ga (0.000, 0.500, 0.000)
Br (0.000, 0.000, 0.000)

---

Most stable = version w